i) A relaxed structure of Li2TaBr. Source: the Alexandria database, functional PBE-GGA.

Unit cell a=9.0175 b=9.0175 c=9.0175 alpha=19.92 beta=19.92 gamma=19.92
Closest atoms and distances in Å follow each position.
Atoms (fractional coordinates):
Ta (0.2500, 0.2500, 0.2500)  6 Ta 3.12, 6 Li 3.17
Li (0.4848, 0.4848, 0.4848)  3 Br 2.55
Li (0.0152, 0.0152, 0.0152)  3 Br 2.55
Br (0.7500, 0.7500, 0.7500)  6 Li 2.55

Computed properties:
SG ... No. 166

***

ii) A relaxed structure of Li2TaBr. Source: the Alexandria database, functional PBE-GGA.

Unit cell a=7.4205 b=7.4205 c=5.8438 alpha=50.59 beta=50.59 gamma=90.00
Closest atoms and distances in Å follow each position.
Atoms (fractional coordinates):
Li (0.8750, 0.8282, 0.7500)  2 Br 2.48, 2 Li 2.66
Li (0.5782, 0.1250, 0.2500)  2 Br 2.48, 2 Li 2.66
Li (0.1718, 0.6250, 0.2500)  2 Br 2.48, 2 Li 2.66
Li (0.3750, 0.4218, 0.7500)  2 Br 2.48, 2 Li 2.66
Br (0.2500, 0.7500, 0.5000)  4 Li 2.48, 2 Ta 2.57
Br (0.5000, 0.5000, 0.0000)  4 Li 2.48, 2 Ta 2.57
Ta (0.0000, 0.0000, 0.0000)  2 Br 2.57
Ta (0.7500, 0.2500, 0.5000)  2 Br 2.57

Computed properties:
SG ... No. 122

***

iii) A relaxed structure of Li2TaBr. Source: the Alexandria database, functional PBE-GGA.

Unit cell a=4.9062 b=4.9062 c=4.9062 alpha=60.00 beta=60.00 gamma=60.00
Closest atoms and distances in Å follow each position.
Atoms (fractional coordinates):
Br (0.0000, 0.0000, 0.0000)  8 Li 3.00
Ta (0.5000, 0.5000, 0.5000)  8 Li 3.00
Li (0.7500, 0.7500, 0.7500)  4 Ta 3.00, 4 Br 3.00
Li (0.2500, 0.2500, 0.2500)  4 Ta 3.00, 4 Br 3.00

Computed properties:
SG ... No. 225

***

Going by the energies, i) is most stable and the next is 556 meV per atom up.

***

i) A relaxed structure of Li2TaBr. Source: the Alexandria database, functional PBE-GGA.

Unit cell a=5.6811 b=5.6811 c=5.6811 alpha=141.24 beta=141.24 gamma=55.97
Closest atoms and distances in Å follow each position.
Atoms (fractional coordinates):
Li (0.5000, 0.5000, 0.0000)  4 Li 2.67
Li (0.0000, 0.0000, 0.0000)  4 Li 2.67
Ta (0.2500, 0.7500, 0.5000)  4 Br 2.67
Br (0.7500, 0.2500, 0.5000)  4 Ta 2.67

Computed properties:
SG ... No. 139

***

ii) A relaxed structure of Li2TaBr. Source: the Alexandria database, functional PBE-GGA.

Unit cell a=5.9736 b=5.4618 c=2.9884 alpha=89.98 beta=60.03 gamma=114.22
Closest atoms and distances in Å follow each position.
Atoms (fractional coordinates):
Li (0.0000, 0.0000, 0.0000)  2 Li 2.59
Li (0.5000, 0.0000, 0.5000)  2 Li 2.59
Ta (0.0000, 0.5000, 0.5000)  2 Br 2.59
Br (0.5000, 0.5000, 0.0000)  2 Ta 2.59

Computed properties:
SG ... No. 65

***

iii) A relaxed structure of Li2TaBr. Source: the Alexandria database, functional PBE-GGA.

Unit cell a=5.6729 b=5.6729 c=4.7913 alpha=65.02 beta=65.02 gamma=30.70
Closest atoms and distances in Å follow each position.
Atoms (fractional coordinates):
Br (0.2500, 0.2500, 0.2500)  4 Li 2.67, 4 Ta 2.83
Li (0.5262, 0.5262, 0.4739)  2 Br 2.67, 4 Li 2.87
Li (0.9738, 0.9738, 0.0261)  2 Br 2.67, 4 Li 2.87
Ta (0.7500, 0.7500, 0.7500)  4 Br 2.83, 2 Ta 3.00, 4 Li 3.10

Computed properties:
SG ... No. 71

***

iv) A relaxed structure of Li2TaBr. Source: the Alexandria database, functional PBE-GGA.

Unit cell a=3.0462 b=3.0513 c=8.4325 alpha=68.77 beta=90.00 gamma=90.00
Closest atoms and distances in Å follow each position.
Atoms (fractional coordinates):
Br (0.5000, 0.7500, 0.7500)  8 Li 2.68
Li (0.0000, 0.4528, 0.5476)  4 Br 2.68
Li (0.0000, 0.0472, 0.9524)  4 Br 2.68
Ta (0.5000, 0.2500, 0.2500)  4 Ta 3.05, 8 Li 3.18

Computed properties:
SG ... No. 123

***

Going by the energies, iv) is most stable and the next is 229 meV per atom up.

***

i) A relaxed structure of LiTaBr. Source: the Alexandria database, functional PBE-GGA.

Unit cell a=3.1807 b=3.1807 c=6.7818 alpha=90.00 beta=90.00 gamma=120.00
Closest atoms and distances in Å follow each position.
Atoms (fractional coordinates):
Br (0.0000, 0.0000, 0.9733)  3 Ta 2.68
Li (0.3333, 0.6667, 0.3419)  3 Ta 2.96, 3 Br 3.10, 6 Li 3.18
Ta (0.6667, 0.3333, 0.6848)  3 Br 2.68, 3 Li 2.96

Computed properties:
SG ... No. 156

***

ii) A relaxed structure of LiTaBr. Source: the Alexandria database, functional PBE-GGA.

Unit cell a=4.2986 b=4.2986 c=4.2986 alpha=60.00 beta=60.00 gamma=60.00
Closest atoms and distances in Å follow each position.
Atoms (fractional coordinates):
Li (0.0000, 0.0000, 0.0000)  4 Br 2.63
Br (0.2500, 0.2500, 0.2500)  4 Ta 2.63, 4 Li 2.63
Ta (0.5000, 0.5000, 0.5000)  4 Br 2.63

Computed properties:
SG ... No. 216

***

iii) A relaxed structure of LiTaBr. Source: the Alexandria database, functional PBE-GGA.

Unit cell a=7.3413 b=7.0123 c=3.1233 alpha=83.40 beta=71.60 gamma=25.00
Closest atoms and distances in Å follow each position.
Atoms (fractional coordinates):
Li (0.6570, 0.6570, 0.3430)  2 Br 2.63
Br (0.0033, 0.0033, 0.9967)  2 Li 2.63, 2 Ta 2.74
Ta (0.3397, 0.3397, 0.6603)  2 Br 2.74, 2 Li 2.96

Computed properties:
SG ... No. 42

***

Going by the energies, i) is most stable and the next is 145 meV per atom up.

***

i) A relaxed structure of LiTaBr3. Source: the Alexandria database, functional PBE-GGA.

Unit cell a=4.8676 b=4.8676 c=4.8676 alpha=90.00 beta=90.00 gamma=90.00
Closest atoms and distances in Å follow each position.
Atoms (fractional coordinates):
Ta (0.5000, 0.5000, 0.5000)  12 Br 3.44
Br (0.5000, 0.0000, 0.0000)  2 Li 2.43
Br (0.0000, 0.0000, 0.5000)  2 Li 2.43
Br (0.0000, 0.5000, 0.0000)  2 Li 2.43
Li (0.0000, 0.0000, 0.0000)  6 Br 2.43

Computed properties:
SG ... No. 221

***

ii) A relaxed structure of LiTaBr3. Source: the Alexandria database, functional PBE-GGA.

Unit cell a=5.3642 b=5.3642 c=5.3642 alpha=90.00 beta=90.00 gamma=90.00
Closest atoms and distances in Å follow each position.
Atoms (fractional coordinates):
Ta (0.0000, 0.0000, 0.0000)  6 Br 2.68
Li (0.5000, 0.5000, 0.5000)  12 Br 3.79
Br (0.5000, 0.0000, 0.0000)  2 Ta 2.68
Br (0.0000, 0.0000, 0.5000)  2 Ta 2.68
Br (0.0000, 0.5000, 0.0000)  2 Ta 2.68

Computed properties:
SG ... No. 221

***

Going by the energies, ii) is most stable and the next is 463 meV per atom up.

***

i) A relaxed structure of LiTc3Br. Source: the Alexandria database, functional PBE-GGA.

Unit cell a=4.5797 b=4.5797 c=4.5797 alpha=90.00 beta=90.00 gamma=90.00
Closest atoms and distances in Å follow each position.
Atoms (fractional coordinates):
Li (0.5000, 0.5000, 0.5000)  12 Tc 3.24
Br (0.0000, 0.0000, 0.0000)  6 Tc 2.29
Tc (0.5000, 0.0000, 0.0000)  2 Br 2.29
Tc (0.0000, 0.0000, 0.5000)  2 Br 2.29
Tc (0.0000, 0.5000, 0.0000)  2 Br 2.29

Computed properties:
SG ... No. 221

***

ii) A relaxed structure of LiTc3Br. Source: the Alexandria database, functional PBE-GGA.

Unit cell a=4.2619 b=4.2619 c=4.2619 alpha=90.00 beta=90.00 gamma=90.00
Closest atoms and distances in Å follow each position.
Atoms (fractional coordinates):
Li (0.0000, 0.0000, 0.0000)  6 Tc 2.13
Tc (0.0000, 0.5000, 0.0000)  2 Li 2.13
Tc (0.0000, 0.0000, 0.5000)  2 Li 2.13
Tc (0.5000, 0.0000, 0.0000)  2 Li 2.13
Br (0.5000, 0.5000, 0.5000)  12 Tc 3.01

Computed properties:
SG ... No. 221

***

Going by the energies, i) is most stable and the next is 257 meV per atom up.

***

i) A relaxed structure of LiTeBr6. Source: the Alexandria database, functional PBE-GGA.

Unit cell a=7.5027 b=7.9759 c=7.6506 alpha=112.50 beta=110.06 gamma=106.42
Closest atoms and distances in Å follow each position.
Atoms (fractional coordinates):
Br (0.4459, 0.6507, 0.0000)  1 Te 2.70, 1 Br 2.75
Br (0.0802, 0.8154, 0.6946)  1 Li 2.61, 1 Te 2.69
Br (0.9198, 0.1846, 0.3054)  1 Li 2.61, 1 Te 2.69
Br (0.5541, 0.3493, 0.0000)  1 Te 2.70, 1 Br 2.75
Br (0.3856, 0.1208, 0.3054)  1 Li 2.61, 1 Te 2.69
Br (0.6144, 0.8792, 0.6946)  1 Li 2.61, 1 Te 2.69
Li (0.0000, 0.0000, 0.0000)  4 Br 2.61
Te (0.5000, 0.0000, 0.0000)  6 Br 2.69-2.70

Computed properties:
SG ... No. 12

***

ii) A relaxed structure of LiTeBr6. Source: the Alexandria database, functional PBE-GGA.

Unit cell a=6.9545 b=6.9524 c=7.2572 alpha=61.37 beta=61.36 gamma=59.99
Closest atoms and distances in Å follow each position.
Atoms (fractional coordinates):
Te (0.0000, 0.0000, 0.0000)  6 Br 2.69
Br (0.2350, 0.9073, 0.2555)  1 Te 2.69, 1 Li 2.77
Br (0.7650, 0.0927, 0.7445)  1 Te 2.69, 1 Li 2.77
Br (0.9074, 0.6022, 0.2552)  1 Te 2.69, 1 Li 2.77
Br (0.0926, 0.3978, 0.7448)  1 Te 2.69, 1 Li 2.77
Br (0.3979, 0.7649, 0.7446)  1 Te 2.69, 1 Li 2.77
Br (0.6021, 0.2351, 0.2554)  1 Te 2.69, 1 Li 2.77
Li (0.5000, 0.5000, 0.5000)  6 Br 2.77

Computed properties:
SG ... No. 148

***

Going by the energies, i) is most stable and the next is 66 meV per atom up.